This record from Alexandria via LeMat-Bulk describes a relaxed Ca2SbRu crystal. The functional is PBE.

The value obtained for the formation energy without anion corrections is -30 kJ per mole of atoms. The total magnetization comes out at 0.0 μB/cell. The value obtained for the density of states at the Fermi level is 7.8 states/eV per cell. The calculation puts the electronic total energy at -37.3 eV for the cell shown.

a = 4.2118 Å, b = 4.5953 Å, c = 11.0552 Å
α = 90.00°, β = 90.00°, γ = 90.00°
Positions (direct):
Ca  0.0000  0.0000  0.0000
Ca  0.0000  0.5000  0.5000
Ca  0.5000  0.0000  0.2846
Ca  0.5000  0.5000  0.7846
Sb  0.5000  0.0000  0.5830
Sb  0.5000  0.5000  0.0830
Ru  0.0000  0.0000  0.7186
Ru  0.0000  0.5000  0.2186